No. 1
Density functional theory data (GGA-PBE) for Tb6Dy5Y2 after structural relaxation.

Values from the calculation:
density of states at the Fermi level = 15.74 states/eV/f.u.
M_tot = 0.00 μB per formula unit
E_form = 0.096 eV/atom

a = 3.5777 Å, b = 11.6496 Å, c = 20.2231 Å
α = 90.00°, β = 90.00°, γ = 90.00°
With the nearest neighbours (Å) after each atom.
Fractional positions:
1 Dy 0.5000 0.4072 0.7254  5 Tb 3.30-3.46, 4 Y 3.52-3.57, 2 Dy 3.58
2 Dy 0.5000 0.5928 0.2746  5 Tb 3.30-3.46, 4 Y 3.52-3.57, 2 Dy 3.58
3 Dy 0.5000 0.5000 0.0000  6 Tb 3.36-3.37, 4 Dy 3.58-3.66
4 Dy 0.5000 0.9072 0.7746  5 Tb 3.30-3.46, 4 Y 3.52-3.57, 2 Dy 3.58
5 Tb 0.0000 0.5587 0.4197  6 Dy 3.46-3.60, 5 Tb 3.52-3.76, 1 Y 3.72
6 Tb 0.0000 0.9413 0.9197  6 Dy 3.46-3.60, 5 Tb 3.52-3.76, 1 Y 3.72
7 Y 0.0000 0.1659 0.7890  4 Tb 3.34-3.72, 6 Dy 3.52-3.71, 2 Y 3.58
8 Tb 0.5000 0.8267 0.3666  2 Dy 3.30-3.37, 4 Tb 3.47-3.58, 2 Y 3.62
9 Dy 0.5000 0.0928 0.2254  5 Tb 3.30-3.46, 4 Y 3.52-3.57, 2 Dy 3.58
10 Tb 0.0000 0.9178 0.6326  1 Y 3.34, 6 Dy 3.36-3.52, 4 Tb 3.47-3.58
11 Dy 0.5000 0.3012 0.4487  6 Tb 3.52-3.60, 3 Dy 3.58-3.66, 2 Y 3.71
12 Y 0.0000 0.6659 0.7110  4 Tb 3.34-3.72, 6 Dy 3.52-3.71, 2 Y 3.58
13 Dy 0.5000 0.1988 0.9487  6 Tb 3.52-3.60, 3 Dy 3.58-3.66, 2 Y 3.71
14 Tb 0.0000 0.4178 0.8674  1 Y 3.34, 6 Dy 3.36-3.52, 4 Tb 3.47-3.58
15 Dy 0.5000 0.6988 0.5513  6 Tb 3.52-3.60, 3 Dy 3.58-3.66, 2 Y 3.71
16 Tb 0.0000 0.0822 0.3674  1 Y 3.34, 6 Dy 3.36-3.52, 4 Tb 3.47-3.58
17 Tb 0.5000 0.1733 0.6334  2 Dy 3.30-3.37, 4 Tb 3.47-3.58, 2 Y 3.62
18 Tb 0.0000 0.0587 0.0803  6 Dy 3.46-3.60, 5 Tb 3.52-3.76, 1 Y 3.72
19 Tb 0.0000 0.5822 0.1326  1 Y 3.34, 6 Dy 3.36-3.52, 4 Tb 3.47-3.58
20 Tb 0.0000 0.4413 0.5803  6 Dy 3.46-3.60, 5 Tb 3.52-3.76, 1 Y 3.72
21 Y 0.0000 0.8341 0.2110  4 Tb 3.34-3.72, 6 Dy 3.52-3.71, 2 Y 3.58
22 Tb 0.5000 0.3267 0.1334  2 Dy 3.30-3.37, 4 Tb 3.47-3.58, 2 Y 3.62
23 Tb 0.5000 0.6733 0.8666  2 Dy 3.30-3.37, 4 Tb 3.47-3.58, 2 Y 3.62
24 Y 0.0000 0.3341 0.2890  4 Tb 3.34-3.72, 6 Dy 3.52-3.71, 2 Y 3.58
25 Dy 0.5000 0.0000 0.5000  6 Tb 3.36-3.37, 4 Dy 3.58-3.66
26 Dy 0.5000 0.8012 0.0513  6 Tb 3.52-3.60, 3 Dy 3.58-3.66, 2 Y 3.71

=====

No. 2
Density functional theory data (GGA-PBE) for TbDy5Y5 after structural relaxation.

Values from the calculation:
density of states at the Fermi level = 16.81 states/eV/f.u.
M_tot = 0.00 μB per formula unit
energy above the lowest structure with this stoichiometry = 0 meV per atom
E_form = 0.146 eV/atom

a = 6.8707 Å, b = 8.5082 Å, c = 9.4870 Å
α = 44.54°, β = 88.80°, γ = 104.22°
With the nearest neighbours (Å) after each atom.
Fractional positions:
1 Dy 0.2341 0.0718 0.6519  1 Tb 3.21, 4 Y 3.34-3.53, 3 Dy 3.50-3.58
2 Y 0.0000 0.5000 0.5000  2 Tb 3.44, 4 Y 3.51-3.63, 4 Dy 3.52-3.66
3 Y 0.7009 0.9586 0.6816  5 Dy 3.38-3.57, 4 Y 3.43-3.54
4 Dy 0.5000 0.0000 0.0000  2 Tb 3.44, 4 Dy 3.54-3.57, 4 Y 3.57-3.63
5 Dy 0.1426 0.4894 0.1488  5 Dy 3.39-3.73, 5 Y 3.41-3.69
6 Tb 0.0000 0.0000 0.0000  4 Dy 3.21-3.44, 4 Y 3.25-3.44
7 Y 0.2991 0.0414 0.3184  5 Dy 3.38-3.57, 4 Y 3.43-3.54
8 Dy 0.7659 0.9282 0.3481  1 Tb 3.21, 4 Y 3.34-3.53, 3 Dy 3.50-3.58
9 Y 0.3542 0.5054 0.7768  1 Tb 3.25, 4 Dy 3.34-3.63, 4 Y 3.43-3.63
10 Dy 0.8574 0.5106 0.8512  5 Dy 3.39-3.73, 5 Y 3.41-3.69
11 Y 0.6458 0.4946 0.2232  1 Tb 3.25, 4 Dy 3.34-3.63, 4 Y 3.43-3.63

=====

No. 3
Density functional theory data (GGA-PBE) for Tb4DyY2 after structural relaxation.

Values from the calculation:
density of states at the Fermi level = 11.90 states/eV/f.u.
M_tot = 0.00 μB per formula unit
energy above the lowest structure with this stoichiometry = 124 meV per atom
E_form = 0.130 eV/atom

a = 6.2325 Å, b = 6.5139 Å, c = 11.5251 Å
α = 90.00°, β = 105.71°, γ = 90.00°
With the nearest neighbours (Å) after each atom.
Fractional positions:
1 Tb 0.9656 0.2500 0.1379  2 Tb 3.34, 3 Dy 3.36-3.47, 3 Y 3.39-3.51
2 Tb 0.3436 0.0042 0.7136  5 Tb 3.20-3.48, 1 Dy 3.41, 1 Y 3.51
3 Y 0.7045 0.7500 0.5742  9 Tb 3.40-3.62
4 Tb 0.1415 0.7500 0.4477  1 Dy 3.31, 4 Tb 3.41-3.48, 4 Y 3.42
5 Tb 0.3436 0.4958 0.7136  5 Tb 3.20-3.48, 1 Dy 3.41, 1 Y 3.51
6 Tb 0.0344 0.7500 0.8621  2 Tb 3.34, 3 Dy 3.36-3.47, 3 Y 3.39-3.51
7 Tb 0.8585 0.2500 0.5523  1 Dy 3.31, 4 Tb 3.41-3.48, 4 Y 3.42
8 Y 0.6123 0.7500 0.9962  6 Tb 3.39-3.65, 1 Dy 3.46, 2 Y 3.56
9 Y 0.3877 0.2500 0.0038  6 Tb 3.39-3.65, 1 Dy 3.46, 2 Y 3.56
10 Tb 0.6564 0.5042 0.2864  5 Tb 3.20-3.48, 1 Dy 3.41, 1 Y 3.51
11 Y 0.2955 0.2500 0.4258  9 Tb 3.40-3.62
12 Tb 0.6564 0.9958 0.2864  5 Tb 3.20-3.48, 1 Dy 3.41, 1 Y 3.51
13 Dy 0.1634 0.7500 0.1643  6 Tb 3.31-3.47, 1 Y 3.46
14 Dy 0.8366 0.2500 0.8357  6 Tb 3.31-3.47, 1 Y 3.46

=====

No. 4
Density functional theory data (GGA-PBE) for Tb2Dy7Y2 after structural relaxation.

Values from the calculation:
density of states at the Fermi level = 13.12 states/eV/f.u.
M_tot = 0.00 μB per formula unit
energy above the lowest structure with this stoichiometry = 0 meV per atom
E_form = 0.135 eV/atom

a = 3.6243 Å, b = 11.6683 Å, c = 11.6683 Å
α = 51.27°, β = 71.90°, γ = 71.90°
With the nearest neighbours (Å) after each atom.
Fractional positions:
1 Tb 0.5000 0.2730 0.7270  6 Dy 3.30-3.36, 2 Tb 3.62
2 Dy 0.8314 0.5841 0.5841  2 Y 3.30, 5 Dy 3.32-3.62, 4 Tb 3.36
3 Tb 0.5000 0.7270 0.2730  6 Dy 3.30-3.36, 2 Tb 3.62
4 Dy 0.3205 0.0393 0.6392  5 Dy 3.39-3.76, 4 Y 3.54-3.75, 2 Tb 3.73
5 Dy 0.3205 0.6392 0.0393  5 Dy 3.39-3.76, 4 Y 3.54-3.75, 2 Tb 3.73
6 Dy 0.6795 0.3608 0.9607  5 Dy 3.39-3.76, 4 Y 3.54-3.75, 2 Tb 3.73
7 Dy 0.1686 0.4159 0.4159  2 Y 3.30, 5 Dy 3.32-3.62, 4 Tb 3.36
8 Dy 0.0000 0.0000 0.0000  4 Tb 3.30, 2 Dy 3.62
9 Y 0.0515 0.7239 0.7239  6 Dy 3.30-3.54, 2 Y 3.62
10 Dy 0.6795 0.9607 0.3608  5 Dy 3.39-3.76, 4 Y 3.54-3.75, 2 Tb 3.73
11 Y 0.9485 0.2761 0.2761  6 Dy 3.30-3.54, 2 Y 3.62

=====

No. 5
Density functional theory data (GGA-PBE) for Tb2DyY after structural relaxation.

Values from the calculation:
density of states at the Fermi level = 10.49 states/eV/f.u.
M_tot = 0.02 μB per formula unit
energy above the lowest structure with this stoichiometry = 133 meV per atom
E_form = 0.141 eV/atom

a = 5.6802 Å, b = 5.6802 Å, c = 5.6802 Å
α = 60.00°, β = 60.00°, γ = 60.00°
With the nearest neighbours (Å) after each atom.
Fractional positions:
1 Tb 0.2500 0.2500 0.2500  4 Y 3.48, 4 Dy 3.48
2 Dy 0.0000 0.0000 0.0000  8 Tb 3.48
3 Y 0.5000 0.5000 0.5000  8 Tb 3.48
4 Tb 0.7500 0.7500 0.7500  4 Y 3.48, 4 Dy 3.48

=====

No. 6
Density functional theory data (GGA-PBE) for Tb7DyY12 after structural relaxation.

Values from the calculation:
density of states at the Fermi level = 29.07 states/eV/f.u.
M_tot = 0.00 μB per formula unit
energy above the lowest structure with this stoichiometry = 53 meV per atom
E_form = 0.331 eV/atom

a = 6.7428 Å, b = 10.9706 Å, c = 10.9706 Å
α = 64.09°, β = 78.18°, γ = 101.82°
With the nearest neighbours (Å) after each atom.
Fractional positions:
1 Y 0.7074 0.7883 0.7891  4 Y 3.21-3.51, 3 Tb 3.41-3.59
2 Y 0.4965 0.7891 0.4226  4 Y 3.21-3.51, 3 Tb 3.41-3.59
3 Y 0.7448 0.5453 0.5222  2 Tb 3.17-3.31, 5 Y 3.21-3.51
4 Y 0.2552 0.4547 0.4778  2 Tb 3.17-3.31, 5 Y 3.21-3.51
5 Y 0.2670 0.5222 0.9324  2 Tb 3.17-3.31, 5 Y 3.21-3.51
6 Y 0.2926 0.2117 0.2109  4 Y 3.21-3.51, 3 Tb 3.41-3.59
7 Dy 0.0000 0.0000 0.0000  8 Tb 3.16-3.37
8 Tb 0.5000 0.0000 0.0000  2 Dy 3.37, 6 Tb 3.42
9 Y 0.7330 0.4778 0.0676  2 Tb 3.17-3.31, 5 Y 3.21-3.51
10 Y 0.8005 0.0676 0.4547  2 Tb 3.17-3.31, 5 Y 3.21-3.51
11 Tb 0.9333 0.1377 0.6975  1 Dy 3.16, 4 Y 3.17-3.52, 1 Tb 3.42
12 Tb 0.2043 0.8352 0.8623  1 Dy 3.16, 4 Y 3.17-3.52, 1 Tb 3.42
13 Tb 0.6309 0.6975 0.1648  1 Dy 3.16, 4 Y 3.17-3.52, 1 Tb 3.42
14 Tb 0.3691 0.3025 0.8352  1 Dy 3.16, 4 Y 3.17-3.52, 1 Tb 3.42
15 Y 0.5035 0.2109 0.5774  4 Y 3.21-3.51, 3 Tb 3.41-3.59
16 Tb 0.0667 0.8623 0.3025  1 Dy 3.16, 4 Y 3.17-3.52, 1 Tb 3.42
17 Y 0.1995 0.9324 0.5453  2 Tb 3.17-3.31, 5 Y 3.21-3.51
18 Tb 0.7957 0.1648 0.1377  1 Dy 3.16, 4 Y 3.17-3.52, 1 Tb 3.42
19 Y 0.0809 0.5774 0.2117  4 Y 3.21-3.51, 3 Tb 3.41-3.59
20 Y 0.9191 0.4226 0.7883  4 Y 3.21-3.51, 3 Tb 3.41-3.59